A relaxed structure of AsIr, computed with GGA-PBEsol.

Cell lengths 4.4605, 2.9300, 4.6488 Å; angles 90.00, 90.00, 90.00 degrees
Space group Pmma (No. 51)
One atom of each set of equivalent atoms:
As  0.2500  0.0000  0.2308 (multiplicity 2)
Ir  0.2500  0.5000  0.6983 (multiplicity 2)

Summary:
The raw total energy comes out at -7.261 eV/atom. For the calculated density, the calculation gives 14.60 Mg/m³. The calculation puts the formation energy from the elements at 0.20 eV per atom. As for the calculated volume: 30 Å³/f.u. For the density of states at the Fermi level, the calculation gives 0.654 states/eV per atom. Its size of the total moment is 0.0 μB per formula unit.